! PBE with a Hubbard U ZnCoO2, optimized geometry; values from VASP
! * VASP energy: -5.29 eV/atom
! * magnetization: 3.0 μB/f.u.
! * DOS(E_F): 0.000 states/eV/atom
&SYSTEM
  ibrav = 0, nat = 8, ntyp = 3
/
ATOMIC_SPECIES
Zn 65.41 Zn.upf
Co 58.93 Co.upf
O 16.00 O.upf
ATOMIC_POSITIONS angstrom
Zn 0.000 0.000 0.000
Zn 2.309 2.313 0.000
Co 0.000 2.313 2.312
Co 2.309 0.000 2.312
O 1.154 1.157 1.156
O 1.154 3.470 3.467
O 3.463 1.157 3.467
O 3.463 3.470 1.156
CELL_PARAMETERS angstrom
4.617 0.000 0.000
0.000 4.626 0.000
0.000 0.000 4.623